Entry 1:
First-principles (PBE-GGA) data for Ac2LaSn after structural relaxation, as listed in Alexandria.

Cell and atoms, written as CIF:
```
data_Ac2LaSn
_chemical_formula_sum 'Ac2 La1 Sn1'
_space_group_name_H-M_alt 'P 1'
_space_group_IT_number 1
_space_group_name_Hall 'P 1'
_cell_length_a 4.4477
_cell_length_b 4.4477
_cell_length_c 7.5130
_cell_angle_alpha 90.00
_cell_angle_beta 90.00
_cell_angle_gamma 90.00
loop_
_atom_site_label
_atom_site_fract_x
_atom_site_fract_y
_atom_site_fract_z
La1 0.5000 0.5000 0.5000
Sn1 0.5000 0.5000 0.0000
Ac1 0.0000 0.0000 0.7743
Ac2 0.0000 0.0000 0.2257
```

Calculated values
ΔH_f (0 K), meV per atom: -303.6
Total energy, eV/atom: -4.5904

Entry 2:
First-principles (PBE-GGA) data for AcLa2Sn after structural relaxation, as listed in Alexandria.

Cell and atoms, written as CIF:
```
data_AcLa2Sn
_chemical_formula_sum 'Ac1 La2 Sn1'
_space_group_name_H-M_alt 'P 1'
_space_group_IT_number 1
_space_group_name_Hall 'P 1'
_cell_length_a 5.7692
_cell_length_b 5.7692
_cell_length_c 5.7692
_cell_angle_alpha 60.00
_cell_angle_beta 60.00
_cell_angle_gamma 60.00
loop_
_atom_site_label
_atom_site_fract_x
_atom_site_fract_y
_atom_site_fract_z
Sn1 0.5000 0.5000 0.5000
La1 0.7500 0.7500 0.7500
La2 0.2500 0.2500 0.2500
Ac1 0.0000 0.0000 0.0000
```

Calculated values
ΔH_f (0 K), meV per atom: -250.8
Total energy, eV/atom: -4.7423

Entry 3:
First-principles (PBE-GGA) data for Ac3LaSn after structural relaxation, as listed in Alexandria.

Cell and atoms, written as CIF:
```
data_Ac3LaSn
_chemical_formula_sum 'Ac12 La4 Sn4'
_space_group_name_H-M_alt 'P 1'
_space_group_IT_number 1
_space_group_name_Hall 'P 1'
_cell_length_a 6.6633
_cell_length_b 11.1856
_cell_length_c 11.0208
_cell_angle_alpha 91.10
_cell_angle_beta 90.00
_cell_angle_gamma 90.00
loop_
_atom_site_label
_atom_site_fract_x
_atom_site_fract_y
_atom_site_fract_z
Ac1 0.5233 0.7704 0.3779
Ac2 0.7386 0.4453 0.8758
Ac3 0.5191 0.1064 0.2905
Ac4 0.9809 0.1064 0.7905
Ac5 0.2386 0.5547 0.6242
Ac6 0.0191 0.8936 0.2095
Ac7 0.4809 0.8936 0.7095
Ac8 0.0234 0.2296 0.1221
Ac9 0.2614 0.5547 0.1242
Ac10 0.4767 0.2296 0.6221
Ac11 0.9766 0.7704 0.8779
Ac12 0.7614 0.4453 0.3758
Sn1 0.2374 0.3726 0.8693
Sn2 0.7626 0.6274 0.1307
Sn3 0.7374 0.6274 0.6307
Sn4 0.2626 0.3726 0.3693
La1 0.0009 0.1303 0.4476
La2 0.4991 0.1303 0.9476
La3 0.5009 0.8697 0.0524
La4 0.9991 0.8697 0.5524
```

Calculated values
ΔH_f (0 K), meV per atom: -210.2
Total energy, eV/atom: -4.4613

Entry 4:
First-principles (PBE-GGA) data for AcLa2Sn after structural relaxation, as listed in Alexandria.

Cell and atoms, written as CIF:
```
data_AcLa2Sn
_chemical_formula_sum 'Ac1 La2 Sn1'
_space_group_name_H-M_alt 'P 1'
_space_group_IT_number 1
_space_group_name_Hall 'P 1'
_cell_length_a 5.1317
_cell_length_b 5.1237
_cell_length_c 5.1237
_cell_angle_alpha 90.00
_cell_angle_beta 90.00
_cell_angle_gamma 90.00
loop_
_atom_site_label
_atom_site_fract_x
_atom_site_fract_y
_atom_site_fract_z
La1 0.0000 0.0000 0.5000
La2 0.0000 0.5000 0.0000
Sn1 0.5000 0.0000 0.0000
Ac1 0.5000 0.5000 0.5000
```

Calculated values
ΔH_f (0 K), meV per atom: -431.6
Total energy, eV/atom: -4.9232

Entry 5:
First-principles (PBE-GGA) data for Ac4LaSn15 after structural relaxation, as listed in Alexandria.

Cell and atoms, written as CIF:
```
data_Ac4LaSn15
_chemical_formula_sum 'Ac4 La1 Sn15'
_space_group_name_H-M_alt 'P 1'
_space_group_IT_number 1
_space_group_name_Hall 'P 1'
_cell_length_a 4.8559
_cell_length_b 4.8559
_cell_length_c 24.9071
_cell_angle_alpha 90.00
_cell_angle_beta 90.00
_cell_angle_gamma 90.00
loop_
_atom_site_label
_atom_site_fract_x
_atom_site_fract_y
_atom_site_fract_z
Sn1 0.5000 0.0000 0.0964
Sn2 0.0000 0.5000 0.9036
Sn3 0.5000 0.5000 0.1974
Sn4 0.5000 0.0000 0.9036
Sn5 0.5000 0.5000 0.6011
Sn6 0.5000 0.5000 0.8026
Sn7 0.0000 0.5000 0.0964
Sn8 0.5000 0.0000 0.7018
Sn9 0.5000 0.0000 0.5000
Sn10 0.5000 0.5000 0.3989
Sn11 0.0000 0.5000 0.7018
Sn12 0.0000 0.5000 0.5000
Sn13 0.5000 0.0000 0.2982
Sn14 0.0000 0.5000 0.2982
Sn15 0.5000 0.5000 0.0000
Ac1 0.0000 0.0000 0.6008
Ac2 0.0000 0.0000 0.1970
Ac3 0.0000 0.0000 0.3992
Ac4 0.0000 0.0000 0.8030
La1 0.0000 0.0000 0.0000
```

Calculated values
ΔH_f (0 K), meV per atom: -513.9
Total energy, eV/atom: -4.5840

Entry 6:
First-principles (PBE-GGA) data for Ac3LaSn12 after structural relaxation, as listed in Alexandria.

Cell and atoms, written as CIF:
```
data_Ac3LaSn12
_chemical_formula_sum 'Ac3 La1 Sn12'
_space_group_name_H-M_alt 'P 1'
_space_group_IT_number 1
_space_group_name_Hall 'P 1'
_cell_length_a 4.8930
_cell_length_b 4.8930
_cell_length_c 19.5312
_cell_angle_alpha 90.00
_cell_angle_beta 90.00
_cell_angle_gamma 90.00
loop_
_atom_site_label
_atom_site_fract_x
_atom_site_fract_y
_atom_site_fract_z
Sn1 0.5000 0.0000 0.3732
Sn2 0.5000 0.5000 0.5000
Sn3 0.0000 0.5000 0.8794
Sn4 0.5000 0.5000 0.2459
Sn5 0.5000 0.0000 0.1206
Sn6 0.5000 0.0000 0.8794
Sn7 0.0000 0.5000 0.3732
Sn8 0.5000 0.5000 0.7541
Sn9 0.5000 0.5000 0.0000
Sn10 0.5000 0.0000 0.6268
Sn11 0.0000 0.5000 0.6268
Sn12 0.0000 0.5000 0.1206
Ac1 0.0000 0.0000 0.7535
Ac2 0.0000 0.0000 0.5000
Ac3 0.0000 0.0000 0.2465
La1 0.0000 0.0000 0.0000
```

Calculated values
ΔH_f (0 K), meV per atom: -524.2
Total energy, eV/atom: -4.6046

Entry 7:
First-principles (PBE-GGA) data for Ac4LaSn3 after structural relaxation, as listed in Alexandria.

Cell and atoms, written as CIF:
```
data_Ac4LaSn3
_chemical_formula_sum 'Ac4 La1 Sn3'
_space_group_name_H-M_alt 'P 1'
_space_group_IT_number 1
_space_group_name_Hall 'P 1'
_cell_length_a 3.8798
_cell_length_b 9.4629
_cell_length_c 11.0000
_cell_angle_alpha 128.85
_cell_angle_beta 100.16
_cell_angle_gamma 90.00
loop_
_atom_site_label
_atom_site_fract_x
_atom_site_fract_y
_atom_site_fract_z
Sn1 0.8395 0.7606 0.6791
Sn2 0.0000 0.5000 0.0000
Sn3 0.1605 0.2394 0.3209
Ac1 0.3568 0.0850 0.7137
Ac2 0.6406 0.5089 0.2811
Ac3 0.6432 0.9150 0.2863
Ac4 0.3594 0.4911 0.7189
La1 0.5000 0.0000 0.0000
```

Calculated values
ΔH_f (0 K), meV per atom: -355.7
Total energy, eV/atom: -4.5269

Entry 8:
First-principles (PBE-GGA) data for Ac8LaSn2 after structural relaxation, as listed in Alexandria.

Cell and atoms, written as CIF:
```
data_Ac8LaSn2
_chemical_formula_sum 'Ac8 La1 Sn2'
_space_group_name_H-M_alt 'P 1'
_space_group_IT_number 1
_space_group_name_Hall 'P 1'
_cell_length_a 6.8533
_cell_length_b 9.7653
_cell_length_c 9.7653
_cell_angle_alpha 44.55
_cell_angle_beta 92.72
_cell_angle_gamma 92.72
loop_
_atom_site_label
_atom_site_fract_x
_atom_site_fract_y
_atom_site_fract_z
Ac1 0.8903 0.5848 0.5848
Ac2 0.3988 0.8531 0.3545
Ac3 0.1097 0.4152 0.4152
Ac4 0.1516 0.7891 0.7891
Ac5 0.6012 0.6455 0.1469
Ac6 0.3988 0.3545 0.8531
Ac7 0.6012 0.1469 0.6455
Ac8 0.8484 0.2109 0.2109
Sn1 0.6557 0.7402 0.7402
Sn2 0.3443 0.2598 0.2598
La1 0.0000 0.0000 0.0000
```

Calculated values
ΔH_f (0 K), meV per atom: -167.4
Total energy, eV/atom: -4.3311

Entry 9:
First-principles (PBE-GGA) data for Ac2LaSn after structural relaxation, as listed in Alexandria.

Cell and atoms, written as CIF:
```
data_Ac2LaSn
_chemical_formula_sum 'Ac2 La1 Sn1'
_space_group_name_H-M_alt 'P 1'
_space_group_IT_number 1
_space_group_name_Hall 'P 1'
_cell_length_a 5.1388
_cell_length_b 5.2619
_cell_length_c 5.2619
_cell_angle_alpha 90.00
_cell_angle_beta 90.00
_cell_angle_gamma 90.00
loop_
_atom_site_label
_atom_site_fract_x
_atom_site_fract_y
_atom_site_fract_z
La1 0.5000 0.5000 0.5000
Sn1 0.5000 0.0000 0.0000
Ac1 0.0000 0.5000 0.0000
Ac2 0.0000 0.0000 0.5000
```

Calculated values
ΔH_f (0 K), meV per atom: -379.5
Total energy, eV/atom: -4.6663

Entry 10:
First-principles (PBE-GGA) data for AcLaSn2 after structural relaxation, as listed in Alexandria.

Cell and atoms, written as CIF:
```
data_AcLaSn2
_chemical_formula_sum 'Ac1 La1 Sn2'
_space_group_name_H-M_alt 'P 1'
_space_group_IT_number 1
_space_group_name_Hall 'P 1'
_cell_length_a 3.7400
_cell_length_b 3.7400
_cell_length_c 9.1679
_cell_angle_alpha 90.00
_cell_angle_beta 90.00
_cell_angle_gamma 90.00
loop_
_atom_site_label
_atom_site_fract_x
_atom_site_fract_y
_atom_site_fract_z
Ac1 0.5000 0.5000 0.0000
Sn1 0.0000 0.0000 0.2571
Sn2 0.0000 0.0000 0.7429
La1 0.5000 0.5000 0.5000
```

Calculated values
ΔH_f (0 K), meV per atom: -670.5
Total energy, eV/atom: -4.9309

Entry 11:
First-principles (PBE-GGA) data for Ac6LaSn4 after structural relaxation, as listed in Alexandria.

Cell and atoms, written as CIF:
```
data_Ac6LaSn4
_chemical_formula_sum 'Ac6 La1 Sn4'
_space_group_name_H-M_alt 'P 1'
_space_group_IT_number 1
_space_group_name_Hall 'P 1'
_cell_length_a 8.7757
_cell_length_b 8.7757
_cell_length_c 8.7757
_cell_angle_alpha 87.50
_cell_angle_beta 121.46
_cell_angle_gamma 121.46
loop_
_atom_site_label
_atom_site_fract_x
_atom_site_fract_y
_atom_site_fract_z
Sn1 0.0000 0.1789 0.6319
Sn2 0.5470 0.3681 0.3681
Sn3 0.0000 0.6319 0.1789
Sn4 0.4530 0.8211 0.8211
Ac1 0.3146 0.4874 0.4874
Ac2 0.6854 0.1728 0.1728
Ac3 0.0000 0.5126 0.8272
Ac4 0.0000 0.8272 0.5126
Ac5 0.5000 0.0000 0.5000
Ac6 0.5000 0.5000 0.0000
La1 0.0000 0.0000 0.0000
```

Calculated values
ΔH_f (0 K), meV per atom: -360.6
Total energy, eV/atom: -4.5051

Entry 12:
First-principles (PBE-GGA) data for AcLa5Sn2 after structural relaxation, as listed in Alexandria.

Cell and atoms, written as CIF:
```
data_AcLa5Sn2
_chemical_formula_sum 'Ac1 La5 Sn2'
_space_group_name_H-M_alt 'P 1'
_space_group_IT_number 1
_space_group_name_Hall 'P 1'
_cell_length_a 4.7017
_cell_length_b 8.2100
_cell_length_c 8.2100
_cell_angle_alpha 78.32
_cell_angle_beta 73.36
_cell_angle_gamma 73.36
loop_
_atom_site_label
_atom_site_fract_x
_atom_site_fract_y
_atom_site_fract_z
La1 0.6526 0.1538 0.5409
La2 0.3474 0.4591 0.8462
La3 0.0000 0.5000 0.5000
La4 0.3474 0.8462 0.4591
La5 0.6526 0.5409 0.1538
Sn1 0.2825 0.2175 0.2175
Sn2 0.7175 0.7825 0.7825
Ac1 0.0000 0.0000 0.0000
```

Calculated values
ΔH_f (0 K), meV per atom: -368.9
Total energy, eV/atom: -4.9628